1.
Computed, not measured: an optimized crystal structure of InBi3Pb at the PBE level of DFT.

Geometry as POSCAR:
```
InBi3Pb
1.0
8.410 0.000 0.000
0.000 7.994 0.000
-7.873 0.000 9.629
In Bi Pb
4 12 4
Cartesian
-0.208 1.297 1.614
-4.145 2.700 6.428
4.682 5.294 3.201
0.746 6.697 8.015
-0.452 4.764 1.438
-4.389 7.228 6.253
-5.324 0.956 9.094
-1.388 3.041 4.280
-2.267 5.057 7.501
1.670 6.934 2.687
-1.132 1.060 6.942
2.804 2.937 2.128
1.925 4.953 5.349
5.861 7.038 0.534
4.926 0.767 3.376
0.990 3.231 8.191
-4.911 5.454 9.516
-0.975 6.537 4.702
1.512 1.457 4.927
5.449 2.540 0.112
```

Computed properties:
The value obtained for the energy relative to the elements is 0.3 eV/f.u. The value obtained for the theoretical density is 9.74 Mg/m³. Its distance to the lowest polymorph of the same formula is 0.00 eV per formula unit. The electronic total energy comes out at -3.57 eV per atom.

***

2.
Computed, not measured: an optimized crystal structure of In6BiPb5 at the PBE level of DFT.

Geometry as POSCAR:
```
In6BiPb5
1.0
5.656 -5.384 0.000
5.656 5.384 0.000
-1.388 0.000 5.884
In Bi Pb
6 1 5
Cartesian
1.773 1.800 4.409
2.473 0.000 1.460
1.773 -1.800 4.409
8.152 1.800 1.475
7.452 0.000 4.424
8.152 -1.800 1.475
-0.694 0.000 2.942
5.656 3.573 0.000
4.962 1.765 2.942
5.656 0.000 0.000
4.962 -1.765 2.942
5.656 -3.573 0.000
```

Computed properties:
The value obtained for the energy relative to the elements is 0.3 eV/f.u. The value obtained for the theoretical density is 8.96 Mg/m³. The electronic total energy comes out at -3.22 eV per atom.

***

3.
Computed, not measured: an optimized crystal structure of In4Bi3Pb at the PBE level of DFT.

Geometry as POSCAR:
```
In4Bi3Pb
1.0
-4.240 4.240 6.815
4.240 -4.240 6.815
4.240 4.240 -6.815
In Bi Pb
8 6 2
Cartesian
2.965 -1.275 2.280
5.516 -1.275 4.535
5.516 1.275 2.280
2.965 1.275 4.535
1.275 2.965 2.280
-1.275 2.965 4.535
-1.275 5.516 2.280
1.275 5.516 4.535
3.064 1.177 0.000
0.000 0.000 3.408
3.064 -1.177 6.815
1.177 5.417 0.000
0.000 0.000 10.223
1.177 3.064 6.815
0.000 0.000 0.000
0.000 0.000 6.815
```

Computed properties:
The value obtained for the energy relative to the elements is 0.3 eV/f.u. The value obtained for the theoretical density is 8.76 Mg/m³. The electronic total energy comes out at -3.25 eV per atom.

***

4.
Computed, not measured: an optimized crystal structure of In3Bi3Pb2 at the PBE level of DFT.

Geometry as POSCAR:
```
In3Bi3Pb2
1.0
5.636 0.000 0.000
0.000 14.431 0.000
-2.761 0.000 6.482
In Bi Pb
6 6 4
Cartesian
-0.002 1.506 0.730
-0.002 5.709 0.730
0.016 3.608 3.182
2.859 10.823 3.300
2.877 8.722 5.753
2.877 12.924 5.753
0.044 10.823 5.172
0.037 1.213 5.257
0.037 6.002 5.257
2.839 8.429 1.225
2.839 13.217 1.225
2.831 3.608 1.310
0.018 8.383 2.956
0.018 13.263 2.956
2.858 1.168 3.527
2.858 6.048 3.527
```

Computed properties:
The value obtained for the energy relative to the elements is 0.3 eV/f.u. The value obtained for the theoretical density is 8.73 Mg/m³. The electronic total energy comes out at -3.37 eV per atom.

***

5.
Computed, not measured: an optimized crystal structure of In2BiPb4 at the PBE level of DFT.

Geometry as POSCAR:
```
In2BiPb4
1.0
3.524 0.000 0.000
0.000 4.442 0.000
-1.627 0.000 14.174
In Bi Pb
2 1 4
Cartesian
0.061 0.000 5.803
1.836 0.000 8.371
1.762 2.221 0.000
0.032 0.000 2.027
0.082 2.221 10.034
1.815 2.221 4.140
1.865 0.000 12.148
```

Computed properties:
The value obtained for the energy relative to the elements is 0.4 eV/f.u. The value obtained for the theoretical density is 9.49 Mg/m³. Its distance to the lowest polymorph of the same formula is 0.07 eV per formula unit. The electronic total energy comes out at -3.40 eV per atom.

***

6.
Computed, not measured: an optimized crystal structure of InBi4Pb3 at the PBE level of DFT.

Geometry as POSCAR:
```
InBi4Pb3
1.0
9.587 0.000 0.000
0.000 8.307 0.000
0.000 0.000 8.852
In Bi Pb
2 8 6
Cartesian
0.000 1.410 0.000
4.794 6.897 4.426
0.000 1.370 3.040
0.000 6.952 7.771
2.384 2.780 7.756
2.409 5.527 3.330
4.794 1.355 3.345
4.794 6.937 7.466
7.178 5.527 3.330
7.203 2.780 7.756
0.000 6.994 4.570
2.326 2.716 4.574
2.468 5.591 0.148
4.794 1.313 0.144
7.119 5.591 0.148
7.261 2.716 4.574
```

Computed properties:
The value obtained for the energy relative to the elements is 1.5 eV/f.u. The value obtained for the theoretical density is 7.41 Mg/m³. Its distance to the lowest polymorph of the same formula is 1.16 eV per formula unit. The electronic total energy comes out at -3.49 eV per atom.

***

7.
Computed, not measured: an optimized crystal structure of InBiPb4 at the PBE level of DFT.

Geometry as POSCAR:
```
InBiPb4
1.0
6.556 0.000 0.000
0.000 6.805 0.000
-2.077 0.000 8.510
In Bi Pb
2 2 8
Cartesian
0.053 1.701 2.938
4.426 5.104 5.572
-0.477 5.104 8.482
4.956 1.701 0.028
0.011 5.104 3.044
-0.401 1.701 8.493
1.257 3.413 5.800
1.257 6.794 5.800
3.222 0.011 2.710
3.222 3.392 2.710
4.880 5.104 0.017
4.468 1.701 5.466
```

Computed properties:
The value obtained for the energy relative to the elements is 0.2 eV/f.u. The value obtained for the theoretical density is 10.08 Mg/m³. Its distance to the lowest polymorph of the same formula is 0.00 eV per formula unit. The electronic total energy comes out at -3.53 eV per atom.

***

8.
Computed, not measured: an optimized crystal structure of In2Bi5Pb12 at the PBE level of DFT.

Geometry as POSCAR:
```
In2Bi5Pb12
1.0
9.244 -5.893 0.000
9.244 5.893 0.000
-1.796 0.000 5.636
In Bi Pb
2 5 12
Cartesian
9.244 2.993 0.000
9.244 -2.993 0.000
2.287 0.000 4.022
5.037 0.000 1.763
8.346 0.000 2.818
11.654 0.000 3.873
14.404 0.000 1.614
4.107 2.937 4.512
1.628 0.000 0.685
6.711 2.962 2.259
9.980 2.962 3.376
5.784 0.000 5.124
12.584 2.937 1.124
4.107 -2.937 4.512
10.907 0.000 0.511
6.711 -2.962 2.259
9.980 -2.962 3.376
15.063 0.000 4.951
12.584 -2.937 1.124
```

Computed properties:
The value obtained for the energy relative to the elements is 1.0 eV/f.u. The value obtained for the theoretical density is 10.17 Mg/m³. The electronic total energy comes out at -3.60 eV per atom.